Here is a crystal of Cr2FeRe relaxed with PBEsol from Alexandria. Energies are from SCAN.

a b c (Å): 5.7726 5.7726 5.7726
angles (deg): 90.00 90.00 90.00
Space group Fm-3m (No. 225)
One atom of each set of equivalent atoms:
Cr: 0.2500 0.2500 0.2500 x8
Fe: 0.0000 0.0000 0.0000 x4
Re: 0.0000 0.0000 0.5000 x4

Energy relative to the lowest polymorph listed for this composition in eV per atom: 0.041
Uncorrected energy in eV/atom: -31.4539
Energy of formation in kJ/mol of formula units: 17

---

Here is a crystal of Sr3Cu8Sn4 relaxed with PBEsol from Alexandria. Energies are from SCAN.

a b c (Å): 9.1920 9.1920 7.7967
angles (deg): 90.00 90.00 120.00
Space group P6_3mc (No. 186)
One atom of each set of equivalent atoms:
Sr: 0.0521 0.5260 0.0000 x6
Cu: 0.0000 0.0000 0.2717 x2
Cu: 0.0976 0.1951 0.0185 x6
Cu: 0.1604 0.3209 0.3240 x6
Cu: 0.3333 0.6667 0.6684 x2
Sn: 0.1658 0.3315 0.7021 x6
Sn: 0.3333 0.6667 0.3225 x2

Uncorrected energy in eV/atom: -22.4427
Energy of formation in kJ/mol of formula units: -438

---

Here is a crystal of CdTe2IO relaxed with PBEsol from Alexandria. Energies are from SCAN.

a b c (Å): 4.4206 4.4206 6.7479
angles (deg): 90.00 90.00 90.00
Space group P4/mmm (No. 123)
One atom of each set of equivalent atoms:
Cd: 0.0000 0.0000 0.0000 x1
Te: 0.0000 0.5000 0.5000 x2
I: 0.5000 0.5000 0.0000 x1
O: 0.5000 0.5000 0.5000 x1

Energy relative to the elements, uncorrected in eV per atom: 0.03
Uncorrected energy in eV/atom: -29.5504